The following is a GGA-PBE calculation of Mg2ZnSe after structural relaxation, from the Alexandria database.

Total moment = 0.00 μB per formula unit
Formation energy (no corrections) = -0.43 eV per atom
Energy = -19.353 eV for the cell shown
Calculated density = 3.69 g/cm³

abc: 3.7516 3.9935 11.5905
angles: 90.00 90.00 90.00
Element x y z (fractional)
1 Mg 0.5000 0.5000 0.1753
2 Mg 0.0000 0.0000 0.8247
3 Mg 0.5000 0.0000 0.3924
4 Mg 0.0000 0.5000 0.6076
5 Zn 0.5000 0.0000 0.0131
6 Zn 0.0000 0.5000 0.9869
7 Se 0.0000 0.5000 0.3706
8 Se 0.5000 0.0000 0.6294